# 1
Here is a relaxed NiTeW2 crystal from Alexandria. Energies are from PBE.

space-group type = I-42d, No. 122
total energy = -8.012 eV per atom
total magnetic moment = 0.00 μB per atom

a = 3.773 Å, b = 3.773 Å, c = 10.176 Å
α = 79.32°, β = 79.32°, γ = 90.00°
Fractional coordinates of all 8 atoms:
Ni 0.500 0.500 0.000
Ni 0.250 0.750 0.500
Te 0.000 0.000 0.000
Te 0.750 0.250 0.500
W 0.605 0.125 0.250
W 0.145 0.625 0.250
W 0.375 0.395 0.750
W 0.875 0.855 0.750

# 2
Here is a relaxed NiTe2W crystal from Alexandria. Energies are from PBE.

space-group type = Pm, No. 6
total energy = -6.156 eV per atom
offset from the most stable computed form = 0.092 eV per atom
total magnetic moment = 0.00 μB per atom

a = 3.848 Å, b = 3.852 Å, c = 6.836 Å
α = 89.93°, β = 90.00°, γ = 90.00°
Fractional coordinates of all 4 atoms:
Ni 0.500 0.875 0.625
Te 0.000 0.874 0.892
Te 0.500 0.376 0.358
W 0.000 0.375 0.625

# 3
Here is a relaxed NiTeW2 crystal from Alexandria. Energies are from PBE.

space-group type = Cmm2, No. 35
total energy = -8.140 eV per atom
total magnetic moment = 0.00 μB per atom

a = 2.890 Å, b = 2.890 Å, c = 8.811 Å
α = 90.00°, β = 90.00°, γ = 109.42°
Fractional coordinates of all 4 atoms:
Ni 0.000 0.000 0.474
Te 0.500 0.500 0.734
W 0.000 0.000 0.030
W 0.500 0.500 0.262

# 4
Here is a relaxed NiTe4W crystal from Alexandria. Energies are from PBE.

space-group type = F-43m, No. 216
total energy = -3.584 eV per atom
total magnetic moment = 0.48 μB per atom

a = 6.135 Å, b = 6.135 Å, c = 6.135 Å
α = 60.00°, β = 60.00°, γ = 60.00°
Fractional coordinates of all 6 atoms:
Ni 0.000 0.000 0.000
Te 0.876 0.375 0.375
Te 0.375 0.375 0.876
Te 0.375 0.876 0.375
Te 0.375 0.375 0.375
W 0.750 0.750 0.750

# 5
Here is a relaxed NiTe2W crystal from Alexandria. Energies are from PBE.

space-group type = C2/m, No. 12
total energy = -5.727 eV per atom
offset from the most stable computed form = 0.520 eV per atom
total magnetic moment = 0.00 μB per atom

a = 4.568 Å, b = 4.568 Å, c = 5.538 Å
α = 83.62°, β = 83.62°, γ = 43.80°
Fractional coordinates of all 4 atoms:
Ni 0.250 0.250 0.250
Te 0.030 0.030 0.990
Te 0.470 0.470 0.510
W 0.750 0.750 0.750

# 6
Here is a relaxed NiTeW3 crystal from Alexandria. Energies are from PBE.

space-group type = Pm-3m, No. 221
total energy = -7.955 eV per atom
offset from the most stable computed form = 0.000 eV per atom
total magnetic moment = 0.00 μB per atom

a = 4.564 Å, b = 4.564 Å, c = 4.564 Å
α = 90.00°, β = 90.00°, γ = 90.00°
Fractional coordinates of all 5 atoms:
Ni 0.000 0.000 0.000
Te 0.500 0.500 0.500
W 0.000 0.500 0.000
W 0.000 0.000 0.500
W 0.500 0.000 0.000